{"formula": "Ac6NiTe3Pt2", "functional": "PBE", "state": "optimized geometry", "lattice_angstrom": [[3.836, -6.643, 0.000], [3.836, 6.643, 0.000], [-2.552, 0.000, 8.075]], "species": ["Ac", "Ac", "Ac", "Ac", "Ac", "Ac", "Ni", "Te", "Te", "Te", "Pt", "Pt"], "fractional_positions": [[0.071, 0.400, 0.212], [0.258, 0.258, 0.788], [0.400, 0.071, 0.212], [0.600, 0.929, 0.788], [0.742, 0.742, 0.212], [0.929, 0.600, 0.788], [0.000, 0.000, 0.000], [0.168, 0.832, 0.500], [0.500, 0.500, 0.500], [0.832, 0.168, 0.500], [0.334, 0.666, 0.000], [0.666, 0.334, 0.000]], "rho_g_cm3": 8.85, "space_group": "C2/m, No. 12", "n_ef_per_ev_fu": 4.973, "e_form_raw_ev_per_atom": -1.18, "total_magnetization_mub_per_atom": 0.0000}